# 1
The following is a DFT calculation (PBE-GGA) of a relaxed Dy2NiPt crystal.

The structure in POSCAR format:
```
Dy2NiPt
1.0
-1.032 -4.008 -1.224
2.357 0.893 -4.912
5.103 -2.806 4.887
Dy Ni Pt
4 2 2
direct
0.250 0.782 0.069 Dy
0.750 0.218 0.931 Dy
0.250 0.778 0.570 Dy
0.750 0.222 0.430 Dy
0.750 0.659 0.792 Ni
0.250 0.341 0.208 Ni
0.750 0.656 0.288 Pt
0.250 0.344 0.712 Pt
```

E: -49.1 eV per cell
SG: P2_1/m
D(E_F): 0.6419 states/eV per atom
formation energy from the elements: -879 meV/atom


# 2
The following is a DFT calculation (PBE-GGA) of a relaxed AcPm3Tm7 crystal.

The structure in POSCAR format:
```
AcPm3Tm7
1.0
8.724 0.000 0.000
0.000 7.067 0.000
0.000 -3.533 6.120
Tm Pm Ac
7 3 1
direct
0.122 0.667 0.333 Tm
0.444 0.832 0.665 Tm
0.117 0.166 0.331 Tm
0.444 0.335 0.168 Tm
0.444 0.832 0.168 Tm
0.117 0.669 0.834 Tm
0.117 0.166 0.834 Tm
0.788 0.501 0.499 Pm
0.788 0.997 0.499 Pm
0.788 0.501 0.003 Pm
0.446 0.333 0.667 Ac
```

E: -47.4 eV per cell
SG: P3m1
D(E_F): 1.5541 states/eV per atom
formation energy from the elements: 209 meV/atom


# 3
The following is a DFT calculation (PBE-GGA) of a relaxed Ca2Sn4Pd5 crystal.

The structure in POSCAR format:
```
Ca2Sn4Pd5
1.0
-3.223 4.108 2.794
-5.855 -0.349 0.035
-1.303 -2.433 8.351
Ca Sn Pd
2 4 5
direct
0.875 0.000 0.249 Ca
0.125 0.000 0.751 Ca
0.788 0.682 0.742 Sn
0.212 0.318 0.258 Sn
0.470 0.318 0.742 Sn
0.530 0.682 0.258 Sn
0.750 0.500 0.500 Pd
0.500 0.500 0.000 Pd
0.500 0.000 0.000 Pd
0.000 0.500 0.000 Pd
0.250 0.500 0.500 Pd
```

E: -52.7 eV per cell
SG: Fmmm
D(E_F): 0.4968 states/eV per atom
formation energy from the elements: -607 meV/atom


Which value of formation energy from the elements does entry 3 give?
-607 meV/atom